Density functional theory data (PBE-GGA) for a geometry-optimized HfTi2Ag structure.

Magnetic moment (μB/cell): 2.24
Energy relative to the elements (eV/atom): 0.46
Fermi-level density of states (states/eV/atom): 1.23

Unit cell a=3.9448 b=3.9448 c=10.4171 alpha=79.09 beta=79.09 gamma=90.00
With the nearest neighbours (Å) after each atom.
Positions (direct):
Hf (0.0000, 0.0000, 0.0000)  4 Ag 2.79, 4 Ti 2.87
Hf (0.7500, 0.2500, 0.5000)  4 Ag 2.79, 4 Ti 2.87
Ag (0.5000, 0.5000, 0.0000)  4 Hf 2.79, 4 Ti 2.87
Ag (0.2500, 0.7500, 0.5000)  4 Hf 2.79, 4 Ti 2.87
Ti (0.6255, 0.1250, 0.2500)  4 Ti 2.79, 2 Hf 2.87, 2 Ag 2.87
Ti (0.1245, 0.6250, 0.2500)  4 Ti 2.79, 2 Hf 2.87, 2 Ag 2.87
Ti (0.3750, 0.3745, 0.7500)  4 Ti 2.79, 2 Hf 2.87, 2 Ag 2.87
Ti (0.8750, 0.8755, 0.7500)  4 Ti 2.79, 2 Hf 2.87, 2 Ag 2.87